Entry from OQMD: a relaxed KBaPd4 crystal (PBE-GGA).

a = 8.015 Å, b = 8.015 Å, c = 8.015 Å
α = 90.00°, β = 90.00°, γ = 90.00°
Space group F-43m (No. 216)
Inequivalent atoms, fractional coordinates:
K  0.000  0.000  0.000
Ba  0.250  0.250  0.250
Pd  0.125  0.125  0.625

Raw total energy: -4.3123 eV/atom



Entry from OQMD: a relaxed K4BaSrPd2 crystal (PBE-GGA).

a = 11.015 Å, b = 4.605 Å, c = 13.813 Å
α = 90.00°, β = 90.00°, γ = 90.00°
Space group Amm2 (No. 38)
Inequivalent atoms, fractional coordinates:
K  0.174  0.000  0.000
K  0.315  0.000  0.693
Ba  0.500  0.000  0.424
Sr  0.000  0.000  0.266
Pd  0.000  0.000  0.629
Pd  0.500  0.000  0.072

Raw total energy: -2.3512 eV/atom



Entry from OQMD: a relaxed KBaPr crystal (PBE-GGA).

a = 8.957 Å, b = 8.957 Å, c = 8.957 Å
α = 90.00°, β = 90.00°, γ = 90.00°
Space group F-43m (No. 216)
Inequivalent atoms, fractional coordinates:
K  0.000  0.000  0.000
Ba  0.250  0.250  0.750
Pr  0.250  0.250  0.250

Excess energy over the best structure of this formula in the dataset: 0.0 meV/atom
Raw total energy: -1.7407 eV/atom